Entry from the Alexandria database: a relaxed structure of GeBi2O5 (PBE-GGA).

* space-group type: Pnma, No. 62
* crystal system: orthorhombic
* uncorrected energy: -6.0524 eV per atom
* total magnetic moment: 0.0 μB/f.u.
* formation energy (no corrections): -1.406 eV/atom

CIF file:
```
data_GeBi2O5
_chemical_formula_sum 'Ge4 Bi8 O20'
_symmetry_space_group_name_H-M 'P 1'
_symmetry_Int_Tables_number 1
_cell_length_a 3.980
_cell_length_b 11.151
_cell_length_c 11.191
_cell_angle_alpha 90.00
_cell_angle_beta 90.00
_cell_angle_gamma 90.00
loop_
_symmetry_equiv_pos_as_xyz
'x,y,z'
loop_
_atom_site_label
_atom_site_fract_x
_atom_site_fract_y
_atom_site_fract_z
_atom_site_occupancy
Ge1 0.250 0.208 0.858 1
Ge2 0.750 0.792 0.142 1
Ge3 0.750 0.292 0.358 1
Ge4 0.250 0.708 0.642 1
Bi1 0.750 0.359 0.046 1
Bi2 0.250 0.641 0.954 1
Bi3 0.250 0.141 0.546 1
Bi4 0.750 0.859 0.454 1
Bi5 0.750 0.923 0.781 1
Bi6 0.250 0.077 0.219 1
Bi7 0.250 0.577 0.281 1
Bi8 0.750 0.423 0.719 1
O1 0.750 0.246 0.866 1
O2 0.250 0.754 0.134 1
O3 0.250 0.254 0.366 1
O4 0.750 0.746 0.634 1
O5 0.750 0.443 0.314 1
O6 0.250 0.557 0.686 1
O7 0.250 0.057 0.814 1
O8 0.750 0.943 0.186 1
O9 0.750 0.250 0.514 1
O10 0.250 0.750 0.486 1
O11 0.250 0.250 0.014 1
O12 0.750 0.750 0.986 1
O13 0.250 0.310 0.732 1
O14 0.750 0.690 0.268 1
O15 0.750 0.190 0.232 1
O16 0.250 0.810 0.768 1
O17 0.750 0.998 0.601 1
O18 0.250 0.002 0.399 1
O19 0.250 0.502 0.101 1
O20 0.750 0.498 0.899 1
```


Entry from the Alexandria database: a relaxed structure of GeBiO4 (PBE-GGA).

* space-group type: C2/c, No. 15
* crystal system: monoclinic
* uncorrected energy: -5.8721 eV per atom
* total magnetic moment: 0.0 μB/f.u.
* formation energy (no corrections): -1.150 eV/atom

CIF file:
```
data_GeBiO4
_chemical_formula_sum 'Ge2 Bi2 O8'
_symmetry_space_group_name_H-M 'P 1'
_symmetry_Int_Tables_number 1
_cell_length_a 5.055
_cell_length_b 5.380
_cell_length_c 6.063
_cell_angle_alpha 107.30
_cell_angle_beta 114.64
_cell_angle_gamma 90.00
loop_
_symmetry_equiv_pos_as_xyz
'x,y,z'
loop_
_atom_site_label
_atom_site_fract_x
_atom_site_fract_y
_atom_site_fract_z
_atom_site_occupancy
Ge1 0.500 0.500 0.500 1
Ge2 0.000 0.000 0.500 1
Bi1 0.240 0.750 0.000 1
Bi2 0.760 0.250 0.000 1
O1 0.212 0.166 0.336 1
O2 0.124 0.666 0.336 1
O3 0.686 0.976 0.205 1
O4 0.519 0.476 0.205 1
O5 0.314 0.024 0.795 1
O6 0.481 0.524 0.795 1
O7 0.788 0.834 0.664 1
O8 0.876 0.334 0.664 1
```


Entry from the Alexandria database: a relaxed structure of Ge3Bi4O12 (PBE-GGA).

* space-group type: I-43d, No. 220
* crystal system: cubic
* uncorrected energy: -6.1684 eV per atom
* total magnetic moment: 0.0 μB/f.u.
* formation energy (no corrections): -1.491 eV/atom

CIF file:
```
data_Ge3Bi4O12
_chemical_formula_sum 'Ge6 Bi8 O24'
_symmetry_space_group_name_H-M 'P 1'
_symmetry_Int_Tables_number 1
_cell_length_a 9.233
_cell_length_b 9.233
_cell_length_c 9.233
_cell_angle_alpha 109.47
_cell_angle_beta 109.47
_cell_angle_gamma 109.47
loop_
_symmetry_equiv_pos_as_xyz
'x,y,z'
loop_
_atom_site_label
_atom_site_fract_x
_atom_site_fract_y
_atom_site_fract_z
_atom_site_occupancy
Ge1 0.875 0.250 0.125 1
Ge2 0.125 0.875 0.250 1
Ge3 0.375 0.625 0.750 1
Ge4 0.250 0.125 0.875 1
Ge5 0.750 0.375 0.625 1
Ge6 0.625 0.750 0.375 1
Bi1 0.500 0.000 0.674 1
Bi2 0.174 0.500 0.000 1
Bi3 0.326 0.326 0.326 1
Bi4 0.000 0.174 0.500 1
Bi5 0.826 0.826 0.826 1
Bi6 0.000 0.674 0.500 1
Bi7 0.674 0.500 0.000 1
Bi8 0.500 0.000 0.174 1
O1 0.695 0.334 0.780 1
O2 0.780 0.695 0.334 1
O3 0.585 0.639 0.805 1
O4 0.445 0.166 0.861 1
O5 0.720 0.055 0.915 1
O6 0.334 0.780 0.695 1
O7 0.361 0.666 0.945 1
O8 0.220 0.415 0.555 1
O9 0.139 0.085 0.305 1
O10 0.555 0.220 0.415 1
O11 0.666 0.945 0.361 1
O12 0.834 0.195 0.280 1
O13 0.195 0.280 0.834 1
O14 0.415 0.555 0.220 1
O15 0.280 0.834 0.195 1
O16 0.915 0.720 0.055 1
O17 0.166 0.861 0.445 1
O18 0.639 0.805 0.585 1
O19 0.861 0.445 0.166 1
O20 0.055 0.915 0.720 1
O21 0.805 0.585 0.639 1
O22 0.945 0.361 0.666 1
O23 0.085 0.305 0.139 1
O24 0.305 0.139 0.085 1
```